# Se2ClO (GGA-PBE, optimized geometry)
# M_tot = 0.00 μB/atom
# Fermi-level density of states = 1.226 states/eV/atom
# ΔE to the lowest computed polymorph = 79.7 kJ per mole of atoms
# Uncorrected formation energy = 387 kJ/mol of formula units
data_Se2ClO
_chemical_formula_sum 'Se8 Cl4 O4'
_space_group_name_H-M_alt 'F m -3 m'
_space_group_IT_number 225
_space_group_name_Hall '-F 4 2 3'
_cell_length_a 6.3954
_cell_length_b 6.3954
_cell_length_c 6.3954
_cell_angle_alpha 90.00
_cell_angle_beta 90.00
_cell_angle_gamma 90.00
loop_
_atom_site_label
_atom_site_type_symbol
_atom_site_fract_x
_atom_site_fract_y
_atom_site_fract_z
Se1 Se 0.2500 0.2500 0.2500
Cl1 Cl 0.0000 0.0000 0.0000
O1 O 0.0000 0.0000 0.5000